Record 1
# Sr3Pt

A PBEsol-optimized structure of Sr3Pt (SCAN, the Alexandria database).

```
data_Sr3Pt
_chemical_formula_sum 'Sr6 Pt2'
_cell_length_a 4.0550
_cell_length_b 10.8925
_cell_length_c 6.9928
_cell_angle_alpha 90.00
_cell_angle_beta 90.00
_cell_angle_gamma 90.00
_symmetry_space_group_name_H-M 'I m m 2'
_symmetry_Int_Tables_number 44
loop_
_symmetry_equiv_pos_as_xyz
'x,y,z'
'-x,-y,z'
'-x,y,z'
'x,-y,z'
'x+1/2,y+1/2,z+1/2'
'-x+1/2,-y+1/2,z+1/2'
'-x+1/2,y+1/2,z+1/2'
'x+1/2,-y+1/2,z+1/2'
loop_
_atom_site_label
_atom_site_fract_x
_atom_site_fract_y
_atom_site_fract_z
Sr1 0.0000 0.0000 0.0000
Sr2 0.0000 0.1760 0.4859
Pt1 0.0000 0.5000 0.8085
```

Calculated values
DOS(E_F): 6.10 states/eV per cell
Energy of formation: -0.4940 eV/atom
Total energy: -277.99 eV for the cell shown

=====

Record 2
# Sr3Pt2

A PBEsol-optimized structure of Sr3Pt2 (SCAN, the Alexandria database).

```
data_Sr3Pt2
_chemical_formula_sum 'Sr27 Pt18'
_cell_length_a 9.2067
_cell_length_b 9.2067
_cell_length_c 17.5188
_cell_angle_alpha 90.00
_cell_angle_beta 90.00
_cell_angle_gamma 120.00
_symmetry_space_group_name_H-M 'R -3'
_symmetry_Int_Tables_number 148
_symmetry_space_group_name_Hall '-R 3'
loop_
_atom_site_label
_atom_site_fract_x
_atom_site_fract_y
_atom_site_fract_z
Sr1 0.0000 0.0000 0.0000
Sr2 0.0000 0.0000 0.2012
Sr3 0.0130 0.2644 0.5938
Pt1 0.0212 0.6066 0.5652
```

Calculated values
DOS(E_F): 17.64 states/eV per cell
Energy of formation: -0.8686 eV/atom
Total energy: -1903.99 eV for the cell shown

=====

Record 3
# Sr5Pt3

A PBEsol-optimized structure of Sr5Pt3 (SCAN, the Alexandria database).

```
data_Sr5Pt3
_chemical_formula_sum 'Sr10 Pt6'
_cell_length_a 8.8193
_cell_length_b 8.8193
_cell_length_c 6.8181
_cell_angle_alpha 90.00
_cell_angle_beta 90.00
_cell_angle_gamma 120.00
_symmetry_space_group_name_H-M 'P 63/m c m'
_symmetry_Int_Tables_number 193
_symmetry_space_group_name_Hall '-P 6c 2'
loop_
_atom_site_label
_atom_site_fract_x
_atom_site_fract_y
_atom_site_fract_z
Sr1 0.0000 0.2639 0.2500
Sr2 0.3333 0.6667 0.0000
Pt1 0.0000 0.3893 0.7500
```

Calculated values
DOS(E_F): 4.75 states/eV per cell
Energy of formation: -0.8009 eV/atom
Total energy: -656.73 eV for the cell shown

=====

Question: energy of formation of number 1 (Sr3Pt)?
Answer: -0.4940 eV/atom

=====

Question: The lowest total energy belongs to which entry?
Answer: Sr3Pt2